! MgSbSe2Br PBE relaxed; values from VASP
! DOS(E_F) in states/eV/atom: 0.4958
! Raw total energy in eV/cell: -15.1
! Uncorrected formation energy in eV/atom: -0.138
! M_tot in μB/cell: 0.00
&SYSTEM
  ibrav = 0, nat = 5, ntyp = 4
/
ATOMIC_SPECIES
Sb 121.76 Sb.upf
Br 79.90 Br.upf
Se 78.96 Se.upf
Mg 24.30 Mg.upf
ATOMIC_POSITIONS angstrom
Sb 2.581 2.581 2.453
Br 0.000 0.000 2.453
Se 2.581 0.000 0.000
Se 0.000 2.581 0.000
Mg 0.000 0.000 0.000
CELL_PARAMETERS angstrom
5.163 0.000 0.000
0.000 5.163 0.000
0.000 0.000 4.905

! La4Tb15Pm PBE relaxed; values from VASP
! DOS(E_F) in states/eV/atom: 1.4783
! Raw total energy in eV/cell: -93.4
! M_tot in μB/cell: 0.00
&SYSTEM
  ibrav = 0, nat = 20, ntyp = 3
/
ATOMIC_SPECIES
Tb 158.93 Tb.upf
La 138.91 La.upf
Pm 145.00 Pm.upf
ATOMIC_POSITIONS angstrom
Tb 2.555 0.000 2.507
Tb 2.555 2.555 5.053
Tb 0.000 2.555 7.603
Tb 0.000 2.555 2.507
Tb 2.555 2.555 20.329
Tb 2.555 2.555 0.000
Tb 2.555 2.555 10.148
Tb 0.000 2.555 17.778
Tb 2.555 0.000 12.691
Tb 2.555 0.000 22.875
Tb 0.000 2.555 12.691
Tb 0.000 2.555 22.875
Tb 2.555 0.000 17.778
Tb 2.555 2.555 15.233
Tb 2.555 0.000 7.603
La 0.000 0.000 10.146
La 0.000 0.000 15.235
La 0.000 0.000 5.074
La 0.000 0.000 20.307
Pm 0.000 0.000 0.000
CELL_PARAMETERS angstrom
5.111 0.000 0.000
0.000 5.111 0.000
0.000 0.000 25.381